Record 1
A plane-wave DFT calculation with PBE was carried out for an optimized crystal structure of Rb3Hf3CuTe8.

```
data_Rb3Hf3CuTe8
_chemical_formula_sum 'Rb9 Hf9 Cu3 Te24'
_space_group_name_H-M_alt 'R -3 m'
_space_group_IT_number 166
_space_group_name_Hall '-R 3 2"'
_cell_length_a 8.3742
_cell_length_b 8.3742
_cell_length_c 26.1390
_cell_angle_alpha 90.00
_cell_angle_beta 90.00
_cell_angle_gamma 120.00
loop_
_atom_site_label
_atom_site_fract_x
_atom_site_fract_y
_atom_site_fract_z
Rb1 0.0000 0.5000 0.0000
Hf1 0.0000 0.5000 0.5000
Cu1 0.0000 0.0000 0.5000
Te1 0.0000 0.0000 0.2310
Te2 0.0006 0.5003 0.2271
```

Summary:
The calculation puts the density of states at the Fermi level at 0.453 states/eV/atom. The value obtained for the raw formation energy is -0.759 eV per atom.

=====

Record 2
A plane-wave DFT calculation with PBE was carried out for an optimized crystal structure of RbHfCu2Te4.

```
data_RbHfCu2Te4
_chemical_formula_sum 'Rb2 Hf2 Cu4 Te8'
_space_group_name_H-M_alt 'I 2 2 2'
_space_group_IT_number 23
_space_group_name_Hall 'I 2 2'
_cell_length_a 6.493
_cell_length_b 9.561
_cell_length_c 9.743
_cell_angle_alpha 90.00
_cell_angle_beta 90.00
_cell_angle_gamma 90.00
loop_
_atom_site_label
_atom_site_fract_x
_atom_site_fract_y
_atom_site_fract_z
Rb1 0.000 0.000 0.000
Hf1 0.000 0.000 0.500
Cu1 0.000 0.500 0.123
Te1 0.230 0.179 0.341
```

Summary:
The calculation puts the density of states at the Fermi level at 0.722 states/eV/atom. The value obtained for the raw formation energy is -0.375 eV per atom.

=====

Record 3
A plane-wave DFT calculation with PBE was carried out for an optimized crystal structure of Rb4Hf3CuTe8.

```
data_Rb4Hf3CuTe8
_chemical_formula_sum 'Rb12 Hf9 Cu3 Te24'
_space_group_name_H-M_alt 'R -3 m'
_space_group_IT_number 166
_space_group_name_Hall '-R 3 2"'
_cell_length_a 8.5435
_cell_length_b 8.5435
_cell_length_c 25.4369
_cell_angle_alpha 90.00
_cell_angle_beta 90.00
_cell_angle_gamma 120.00
loop_
_atom_site_label
_atom_site_fract_x
_atom_site_fract_y
_atom_site_fract_z
Rb1 0.0000 0.0000 0.0000
Rb2 0.0000 0.5000 0.0000
Hf1 0.0000 0.5000 0.5000
Cu1 0.0000 0.0000 0.5000
Te1 0.0000 0.0000 0.2311
Te2 0.0013 0.5007 0.2278
```

Summary:
The calculation puts the density of states at the Fermi level at 0.314 states/eV/atom. The value obtained for the raw formation energy is -0.781 eV per atom.

=====

Record 4
A plane-wave DFT calculation with PBE was carried out for an optimized crystal structure of RbHfZr2Cu.

```
data_RbHfZr2Cu
_chemical_formula_sum 'Rb1 Hf1 Zr2 Cu1'
_space_group_name_H-M_alt 'P 4/m m m'
_space_group_IT_number 123
_space_group_name_Hall '-P 4 2'
_cell_length_a 5.230
_cell_length_b 5.230
_cell_length_c 6.271
_cell_angle_alpha 90.00
_cell_angle_beta 90.00
_cell_angle_gamma 90.00
loop_
_atom_site_label
_atom_site_fract_x
_atom_site_fract_y
_atom_site_fract_z
Rb1 0.000 0.000 0.000
Hf1 0.000 0.000 0.500
Zr1 0.000 0.500 0.500
Cu1 0.500 0.500 0.000
```

Summary:
Its formation energy from the elements is 1.5616 eV/atom. The calculation puts the density of states at the Fermi level at 1.000 states/eV/atom.

=====

Record 5
A plane-wave DFT calculation with PBE was carried out for an optimized crystal structure of HfCu3Re.

```
data_HfCu3Re
_chemical_formula_sum 'Hf1 Cu3 Re1'
_space_group_name_H-M_alt 'P m -3 m'
_space_group_IT_number 221
_space_group_name_Hall '-P 4 2 3'
_cell_length_a 4.547
_cell_length_b 4.547
_cell_length_c 4.547
_cell_angle_alpha 90.00
_cell_angle_beta 90.00
_cell_angle_gamma 90.00
loop_
_atom_site_label
_atom_site_fract_x
_atom_site_fract_y
_atom_site_fract_z
Hf1 0.000 0.000 0.000
Cu1 0.000 0.500 0.500
Re1 0.500 0.500 0.500
```

Summary:
Its formation energy from the elements is 1.2332 eV/atom. The calculation puts the energy above the lowest structure with this stoichiometry at 0.00 eV/f.u. The calculation puts the density of states at the Fermi level at 0.981 states/eV/atom.

=====

Record 6
A plane-wave DFT calculation with PBE was carried out for an optimized crystal structure of HfCuRe2.

```
data_HfCuRe2
_chemical_formula_sum 'Hf4 Cu4 Re8'
_space_group_name_H-M_alt 'F m -3 m'
_space_group_IT_number 225
_space_group_name_Hall '-F 4 2 3'
_cell_length_a 6.310
_cell_length_b 6.310
_cell_length_c 6.310
_cell_angle_alpha 90.00
_cell_angle_beta 90.00
_cell_angle_gamma 90.00
loop_
_atom_site_label
_atom_site_fract_x
_atom_site_fract_y
_atom_site_fract_z
Hf1 0.000 0.000 0.000
Cu1 0.000 0.000 0.500
Re1 0.250 0.250 0.250
```

Summary:
Its formation energy from the elements is 0.3909 eV/atom. The calculation puts the energy above the lowest structure with this stoichiometry at 0.00 eV/f.u. The calculation puts the density of states at the Fermi level at 1.251 states/eV/atom.

=====

Record 7
A plane-wave DFT calculation with PBE was carried out for an optimized crystal structure of Hf4CuRe.

```
data_Hf4CuRe
_chemical_formula_sum 'Hf4 Cu1 Re1'
_space_group_name_H-M_alt 'P 4/m m m'
_space_group_IT_number 123
_space_group_name_Hall '-P 4 2'
_cell_length_a 3.258
_cell_length_b 3.258
_cell_length_c 10.773
_cell_angle_alpha 90.00
_cell_angle_beta 90.00
_cell_angle_gamma 90.00
loop_
_atom_site_label
_atom_site_fract_x
_atom_site_fract_y
_atom_site_fract_z
Hf1 0.000 0.000 0.149
Hf2 0.500 0.500 0.342
Cu1 0.000 0.000 0.500
Re1 0.500 0.500 0.000
```

Summary:
Its formation energy from the elements is -0.1429 eV/atom. The calculation puts the density of states at the Fermi level at 1.310 states/eV/atom.

=====

Record 8
A plane-wave DFT calculation with PBE was carried out for an optimized crystal structure of Hf3Cu2Re.

```
data_Hf3Cu2Re
_chemical_formula_sum 'Hf3 Cu2 Re1'
_space_group_name_H-M_alt 'P 4/m m m'
_space_group_IT_number 123
_space_group_name_Hall '-P 4 2'
_cell_length_a 3.282
_cell_length_b 3.282
_cell_length_c 9.678
_cell_angle_alpha 90.00
_cell_angle_beta 90.00
_cell_angle_gamma 90.00
loop_
_atom_site_label
_atom_site_fract_x
_atom_site_fract_y
_atom_site_fract_z
Hf1 0.000 0.000 0.000
Hf2 0.000 0.000 0.337
Cu1 0.500 0.500 0.166
Re1 0.500 0.500 0.500
```

Summary:
Its formation energy from the elements is -0.2349 eV/atom. The calculation puts the energy above the lowest structure with this stoichiometry at 0.03 eV/f.u. The calculation puts the density of states at the Fermi level at 1.006 states/eV/atom.